1.
# GGA-PBE KUSe3, optimized geometry
data_KUSe3
_cell_length_a 7.3407
_cell_length_b 7.3407
_cell_length_c 21.3931
_cell_angle_alpha 90.00
_cell_angle_beta 90.00
_cell_angle_gamma 120.00
_space_group_name_H-M_alt 'R 3 2'
_space_group_IT_number 155
_space_group_name_Hall 'R 3 2"'
loop_
_atom_site_label
_atom_site_fract_x
_atom_site_fract_y
_atom_site_fract_z
_atom_site_occupancy
K1 0.0000 0.0000 0.1211 1
U1 0.0000 0.0000 0.3339 1
Se1 0.9999 0.4981 0.0827 1
# - spin magnetization (μB/f.u.) = 1.00
# - E (eV per atom) = -5.681
# - ρ (g/cm³) = 5.13
# - formation energy without anion corrections (meV/atom) = -1113

---

2.
# GGA-PBE KU2Se6, optimized geometry
data_KU2Se6
_cell_length_a 4.041
_cell_length_b 5.543
_cell_length_c 22.067
_cell_angle_alpha 90.00
_cell_angle_beta 90.00
_cell_angle_gamma 90.00
_space_group_name_H-M_alt 'I m m m'
_space_group_IT_number 71
_space_group_name_Hall '-I 2 2'
loop_
_atom_site_label
_atom_site_fract_x
_atom_site_fract_y
_atom_site_fract_z
_atom_site_occupancy
K1 0.000 0.000 0.000 1
U1 0.000 0.500 0.181 1
Se1 0.000 0.000 0.226 1
Se2 0.000 0.248 0.392 1
# - spin magnetization (μB/f.u.) = 3.91
# - E (eV per atom) = -6.031
# - ρ (g/cm³) = 6.64
# - formation energy without anion corrections (meV/atom) = -1078

---

What did the second record say?
# GGA-PBE KU2Se6, optimized geometry
data_KU2Se6
_cell_length_a 4.041
_cell_length_b 5.543
_cell_length_c 22.067
_cell_angle_alpha 90.00
_cell_angle_beta 90.00
_cell_angle_gamma 90.00
_space_group_name_H-M_alt 'I m m m'
_space_group_IT_number 71
_space_group_name_Hall '-I 2 2'
loop_
_atom_site_label
_atom_site_fract_x
_atom_site_fract_y
_atom_site_fract_z
_atom_site_occupancy
K1 0.000 0.000 0.000 1
U1 0.000 0.500 0.181 1
Se1 0.000 0.000 0.226 1
Se2 0.000 0.248 0.392 1
# - spin magnetization (μB/f.u.) = 3.91
# - E (eV per atom) = -6.031
# - ρ (g/cm³) = 6.64
# - formation energy without anion corrections (meV/atom) = -1078

---

Which formula does entry 1 have?
KUSe3